# Co6OF11, optimized geometry, DFT GGA+U
# volume	208.50	Å³/f.u.
# excess energy over the best structure of this formula in the dataset	130	meV per atom
data_Co6OF11
_chemical_formula_sum 'Co12 O2 F22'
_cell_length_a 9.125
_cell_length_b 6.525
_cell_length_c 7.485
_cell_angle_alpha 90.00
_cell_angle_beta 110.66
_cell_angle_gamma 90.00
_space_group_name_H-M_alt 'C 1 2 1'
_space_group_IT_number 5
_space_group_name_Hall 'C 2y'
loop_
_atom_site_label
_atom_site_type_symbol
_atom_site_fract_x
_atom_site_fract_y
_atom_site_fract_z
Co1 Co 0.000 0.000 0.000
Co2 Co 0.000 0.025 0.500
Co3 Co 0.159 0.535 0.160
Co4 Co 0.167 0.529 0.668
O1 O 0.000 0.720 0.000
F1 F 0.000 0.307 0.000
F2 F 0.059 0.530 0.365
F3 F 0.106 0.020 0.299
F4 F 0.165 0.225 0.665
F5 F 0.174 0.833 0.670
F6 F 0.229 0.016 0.032